Run 1
Entry from the Alexandria database: RbU4S8 after structural relaxation (PBE-GGA).

Cell: 11.747 11.747 11.747 Å, 90.00 90.00 90.00°
Space group F-43m (No. 216)
Inequivalent atoms, fractional coordinates:
Rb 0.000 0.000 0.000 [4 per cell]
U 0.123 0.123 0.623 [16 per cell]
S 0.108 0.108 0.392 [16 per cell]
S 0.147 0.147 0.853 [16 per cell]

=====

Run 2
Entry from the Alexandria database: RbU4S8 after structural relaxation (PBE-GGA).

Cell: 13.841 7.998 10.724 Å, 90.00 129.61 90.00°
Space group C2/m (No. 12)
Inequivalent atoms, fractional coordinates:
Rb 0.000 0.000 0.000 [2 per cell]
U 0.000 0.252 0.500 [4 per cell]
U 0.243 0.500 0.486 [4 per cell]
S 0.004 0.000 0.333 [4 per cell]
S 0.006 0.500 0.676 [4 per cell]
S 0.247 0.241 0.327 [8 per cell]

=====

The most stable arrangement is run 2, and the next structure is 82 meV/atom less stable.

=====

Run 1
Entry from the Alexandria database: RbU2S4 after structural relaxation (PBE-GGA).

Cell: 6.889 4.039 8.335 Å, 90.00 106.40 90.00°
Space group P2/m (No. 10)
Inequivalent atoms, fractional coordinates:
Rb 0.000 0.000 0.000 [1 per cell]
U 0.000 0.500 0.500 [1 per cell]
U 0.500 0.000 0.500 [1 per cell]
S 0.226 0.000 0.681 [2 per cell]
S 0.271 0.500 0.315 [2 per cell]

=====

Run 2
Entry from the Alexandria database: RbU2S4 after structural relaxation (PBE-GGA).

Cell: 4.033 13.368 13.837 Å, 90.00 90.00 90.00°
Space group Cmcm (No. 63)
Inequivalent atoms, fractional coordinates:
Rb 0.000 0.108 0.250 [4 per cell]
U 0.000 0.367 0.064 [8 per cell]
S 0.000 0.000 0.000 [4 per cell]
S 0.000 0.262 0.604 [8 per cell]
S 0.000 0.417 0.250 [4 per cell]

=====

The most stable arrangement is run 1, and the next structure is 47 meV/atom less stable.

=====

Run 1
Entry from the Alexandria database: RbVS3 after structural relaxation (PBE-GGA).

Cell: 6.4802 6.4802 21.0572 Å, 90.00 90.00 120.00°
Space group R-3m (No. 166, hexagonal axes)
Inequivalent atoms, fractional coordinates:
Rb 0.0000 0.0000 0.1188 [6 per cell]
V 0.0000 0.0000 0.3193 [6 per cell]
S 0.0104 0.5052 0.0683 [18 per cell]

=====

Run 2
Entry from the Alexandria database: RbVS3 after structural relaxation (PBE-GGA).

Cell: 4.726 4.726 4.726 Å, 90.00 90.00 90.00°
Space group Pm-3m (No. 221)
Inequivalent atoms, fractional coordinates:
Rb 0.000 0.000 0.000 [1 per cell]
V 0.500 0.500 0.500 [1 per cell]
S 0.000 0.500 0.500 [3 per cell]

=====

Run 3
Entry from the Alexandria database: RbVS3 after structural relaxation (PBE-GGA).

Cell: 6.726 5.912 7.527 Å, 90.00 110.45 90.00°
Space group P2_1/m (No. 11)
Inequivalent atoms, fractional coordinates:
Rb 0.205 0.250 0.329 [2 per cell]
V 0.425 0.750 0.032 [2 per cell]
S 0.159 0.750 0.114 [2 per cell]
S 0.343 0.505 0.773 [4 per cell]

=====

The most stable arrangement is run 3, and the next structure is 105 meV/atom less stable.

=====

Run 1
Entry from the Alexandria database: Rb2VS4 after structural relaxation (PBE-GGA).

Cell: 7.400 5.438 12.096 Å, 90.00 96.25 90.00°
Space group P2_1/m (No. 11)
Inequivalent atoms, fractional coordinates:
Rb 0.228 0.250 0.401 [2 per cell]
Rb 0.242 0.250 0.982 [2 per cell]
V 0.309 0.750 0.740 [2 per cell]
S 0.081 0.750 0.836 [2 per cell]
S 0.236 0.750 0.566 [2 per cell]
S 0.484 0.528 0.206 [4 per cell]

=====

Run 2
Entry from the Alexandria database: Rb2VS4 after structural relaxation (PBE-GGA).

Cell: 4.765 4.765 16.488 Å, 90.00 90.00 90.00°
Space group I4/mmm (No. 139)
Inequivalent atoms, fractional coordinates:
Rb 0.000 0.000 0.149 [4 per cell]
V 0.000 0.000 0.500 [2 per cell]
S 0.000 0.000 0.361 [4 per cell]
S 0.000 0.500 0.000 [4 per cell]

=====

The most stable arrangement is run 1, and the next structure is 249 meV/atom less stable.

=====

Run 1
Entry from the Alexandria database: RbV3S after structural relaxation (PBE-GGA).

Cell: 4.525 4.525 4.525 Å, 90.00 90.00 90.00°
Space group Pm-3m (No. 221)
Inequivalent atoms, fractional coordinates:
Rb 0.000 0.000 0.000 [1 per cell]
V 0.000 0.000 0.500 [3 per cell]
S 0.500 0.500 0.500 [1 per cell]

=====

Run 2
Entry from the Alexandria database: RbV3S after structural relaxation (PBE-GGA).

Cell: 4.589 4.589 4.589 Å, 90.00 90.00 90.00°
Space group Pm-3m (No. 221)
Inequivalent atoms, fractional coordinates:
Rb 0.000 0.000 0.000 [1 per cell]
V 0.000 0.500 0.500 [3 per cell]
S 0.500 0.500 0.500 [1 per cell]

=====

The most stable arrangement is run 2, and the next structure is 1849 meV/atom less stable.

=====

Run 1
Entry from the Alexandria database: RbW3S after structural relaxation (PBE-GGA).

Cell: 4.634 4.634 4.634 Å, 90.00 90.00 90.00°
Space group Pm-3m (No. 221)
Inequivalent atoms, fractional coordinates:
Rb 0.000 0.000 0.000 [1 per cell]
W 0.000 0.500 0.500 [3 per cell]
S 0.500 0.500 0.500 [1 per cell]

=====

Run 2
Entry from the Alexandria database: RbW3S after structural relaxation (PBE-GGA).

Cell: 4.751 4.751 4.751 Å, 90.00 90.00 90.00°
Space group Pm-3m (No. 221)
Inequivalent atoms, fractional coordinates:
Rb 0.000 0.000 0.000 [1 per cell]
W 0.000 0.000 0.500 [3 per cell]
S 0.500 0.500 0.500 [1 per cell]

=====

The most stable arrangement is run 1, and the next structure is 2557 meV/atom less stable.

=====

Run 1
Entry from the Alexandria database: Rb2WS4 after structural relaxation (PBE-GGA).

Cell: 9.959 7.162 12.783 Å, 90.00 90.00 90.00°
Space group Pnma (No. 62)
Inequivalent atoms, fractional coordinates:
Rb 0.039 0.250 0.168 [4 per cell]
Rb 0.155 0.750 0.394 [4 per cell]
W 0.246 0.750 0.071 [4 per cell]
S 0.027 0.750 0.105 [4 per cell]
S 0.160 0.000 0.640 [8 per cell]
S 0.217 0.250 0.401 [4 per cell]

=====

Run 2
Entry from the Alexandria database: Rb2WS4 after structural relaxation (PBE-GGA).

Cell: 10.291 12.398 8.650 Å, 90.00 90.00 90.00°
Space group Fmm2 (No. 42)
Inequivalent atoms, fractional coordinates:
Rb 0.250 0.250 0.000 [8 per cell]
W 0.000 0.000 0.418 [4 per cell]
S 0.000 0.150 0.276 [8 per cell]
S 0.171 0.000 0.570 [8 per cell]

=====

Run 3
Entry from the Alexandria database: Rb2WS4 after structural relaxation (PBE-GGA).

Cell: 4.800 4.800 16.672 Å, 90.00 90.00 90.00°
Space group I4/mmm (No. 139)
Inequivalent atoms, fractional coordinates:
Rb 0.000 0.000 0.150 [4 per cell]
W 0.000 0.000 0.500 [2 per cell]
S 0.000 0.000 0.358 [4 per cell]
S 0.000 0.500 0.000 [4 per cell]

=====

The most stable arrangement is run 1, and the next structure is 63 meV/atom less stable.

=====

Run 1
Entry from the Alexandria database: Rb3WS4 after structural relaxation (PBE-GGA).

Cell: 12.844 6.624 6.573 Å, 90.00 90.00 90.00°
Space group Pmn2_1 (No. 31)
Inequivalent atoms, fractional coordinates:
Rb 0.000 0.188 0.000 [2 per cell]
Rb 0.250 0.265 0.550 [4 per cell]
W 0.000 0.648 0.441 [2 per cell]
S 0.000 0.313 0.497 [2 per cell]
S 0.000 0.686 0.101 [2 per cell]
S 0.153 0.773 0.558 [4 per cell]

=====

Run 2
Entry from the Alexandria database: Rb3WS4 after structural relaxation (PBE-GGA).

Cell: 7.193 10.221 7.907 Å, 90.00 90.00 90.00°
Space group Imm2 (No. 44)
Inequivalent atoms, fractional coordinates:
Rb 0.000 0.000 0.000 [2 per cell]
Rb 0.000 0.237 0.449 [4 per cell]
W 0.000 0.500 0.008 [2 per cell]
S 0.000 0.316 0.850 [4 per cell]
S 0.249 0.500 0.176 [4 per cell]

=====

The most stable arrangement is run 1, and the next structure is 41 meV/atom less stable.